A relaxed CsHfPt2 crystal. Source: the Alexandria database, functional PBE.

abc: 5.0189 5.0189 5.0189
angles: 60.00 60.00 60.00
Element x y z (fractional)
Cs  0.0000  0.0000  0.0000
Hf  0.5000  0.5000  0.5000
Pt  0.2500  0.2500  0.2500
Pt  0.7500  0.7500  0.7500

Relative energy among the computed polymorphs = 337.5 meV/atom
Space group = Fm-3m
DOS(E_F) = 2.08 states/eV/f.u.
Energy relative to the elements = 0.324 eV/atom
Density = 13.0 Mg/m³
Spin magnetization = 0.00 μB per formula unit



A relaxed CsHf3Pt crystal. Source: the Alexandria database, functional PBE.

abc: 5.1252 5.1252 5.1252
angles: 90.00 90.00 90.00
Element x y z (fractional)
Cs  0.0000  0.0000  0.0000
Hf  0.0000  0.0000  0.5000
Hf  0.0000  0.5000  0.0000
Hf  0.5000  0.0000  0.0000
Pt  0.5000  0.5000  0.5000

Relative energy among the computed polymorphs = 1827.5 meV/atom
Space group = Pm-3m
DOS(E_F) = 7.66 states/eV/f.u.
Energy relative to the elements = 2.380 eV/atom
Density = 10.7 Mg/m³
Spin magnetization = 0.00 μB per formula unit



A relaxed Cs2HfPt crystal. Source: the Alexandria database, functional PBE.

abc: 5.9045 5.9045 5.9045
angles: 60.00 60.00 60.00
Element x y z (fractional)
Cs  0.2500  0.2500  0.2500
Cs  0.7500  0.7500  0.7500
Hf  0.0000  0.0000  0.0000
Pt  0.5000  0.5000  0.5000

Relative energy among the computed polymorphs = 857.1 meV/atom
Space group = Fm-3m
DOS(E_F) = 6.20 states/eV/f.u.
Energy relative to the elements = 1.369 eV/atom
Density = 7.3 Mg/m³
Spin magnetization = 2.01 μB per formula unit



A relaxed CsHf2Pt crystal. Source: the Alexandria database, functional PBE.

abc: 4.9693 4.9693 4.9693
angles: 60.00 60.00 60.00
Element x y z (fractional)
Cs  0.0000  0.0000  0.0000
Hf  0.2500  0.2500  0.2500
Hf  0.7500  0.7500  0.7500
Pt  0.5000  0.5000  0.5000

Space group = Fm-3m
DOS(E_F) = 5.65 states/eV/f.u.
Energy relative to the elements = 0.616 eV/atom
Density = 13.1 Mg/m³
Spin magnetization = 0.00 μB per formula unit



A relaxed CsHfPt3 crystal. Source: the Alexandria database, functional PBE.

abc: 5.0992 5.0992 5.0992
angles: 90.00 90.00 90.00
Element x y z (fractional)
Cs  0.0000  0.0000  0.0000
Hf  0.5000  0.5000  0.5000
Pt  0.0000  0.0000  0.5000
Pt  0.0000  0.5000  0.0000
Pt  0.5000  0.0000  0.0000

Relative energy among the computed polymorphs = 1765.4 meV/atom
Space group = Pm-3m
DOS(E_F) = 4.34 states/eV/f.u.
Energy relative to the elements = 2.000 eV/atom
Density = 11.2 Mg/m³
Spin magnetization = 0.00 μB per formula unit



A relaxed CsHf3Pt crystal. Source: the Alexandria database, functional PBE.

abc: 5.2486 5.2486 5.2486
angles: 90.00 90.00 90.00
Element x y z (fractional)
Cs  0.0000  0.0000  0.0000
Hf  0.0000  0.5000  0.5000
Hf  0.5000  0.0000  0.5000
Hf  0.5000  0.5000  0.0000
Pt  0.5000  0.5000  0.5000

Relative energy among the computed polymorphs = 0.0 meV/atom
Space group = Pm-3m
DOS(E_F) = 7.71 states/eV/f.u.
Energy relative to the elements = 0.552 eV/atom
Density = 9.9 Mg/m³
Spin magnetization = 0.00 μB per formula unit



A relaxed Cs2HfPt crystal. Source: the Alexandria database, functional PBE.

abc: 9.8567 9.8567 9.8567
angles: 93.71 93.71 150.51
Element x y z (fractional)
Cs  0.3750  0.2081  0.3331
Cs  0.7919  0.1250  0.1669
Cs  0.8750  0.0419  0.6669
Cs  0.9581  0.6250  0.8331
Hf  0.2500  0.7500  0.5000
Hf  0.5000  0.5000  0.0000
Pt  0.0000  0.0000  0.0000
Pt  0.7500  0.2500  0.5000

Relative energy among the computed polymorphs = 0.0 meV/atom
Space group = I-42d
DOS(E_F) = 4.76 states/eV/f.u.
Energy relative to the elements = 0.512 eV/atom
Density = 4.7 Mg/m³
Spin magnetization = 0.00 μB per formula unit



A relaxed CsHfSc2Pt crystal. Source: the Alexandria database, functional PBE.

abc: 5.0374 5.0374 5.2458
angles: 90.00 90.00 90.00
Element x y z (fractional)
Cs  0.0000  0.0000  0.0000
Hf  0.0000  0.0000  0.5000
Sc  0.0000  0.5000  0.0000
Sc  0.5000  0.0000  0.0000
Pt  0.5000  0.5000  0.5000

Space group = P4/mmm
DOS(E_F) = 3.64 states/eV/f.u.
Energy relative to the elements = 1.756 eV/atom
Density = 7.4 Mg/m³
Spin magnetization = 0.00 μB per formula unit